Version i
Here is crystalline Dy2ZrTl at its relaxed geometry from the Alexandria database. Energies are from PBE. Values from VASP.

Magnetic moment   0.727 μB/cell

Quantum ESPRESSO input file:
```
&SYSTEM
  ibrav = 0, nat = 4, ntyp = 3
/
ATOMIC_SPECIES
Dy 162.50 Dy.upf
Zr 91.22 Zr.upf
Tl 204.38 Tl.upf
CELL_PARAMETERS angstrom
5.2838 0.0000 0.0000
2.6419 4.5759 0.0000
2.6419 1.5253 4.3143
ATOMIC_POSITIONS crystal
Dy 0.0000 0.0000 0.9999
Dy 0.2500 0.2500 0.2500
Zr 0.4999 0.4999 0.5003
Tl 0.7501 0.7501 0.7498
```

---

Version ii
Here is crystalline Dy2ZrTl at its relaxed geometry from the Alexandria database. Energies are from PBE. Values from VASP.

Magnetic moment   0.000 μB/cell

Quantum ESPRESSO input file:
```
&SYSTEM
  ibrav = 0, nat = 4, ntyp = 3
/
ATOMIC_SPECIES
Tl 204.38 Tl.upf
Zr 91.22 Zr.upf
Dy 162.50 Dy.upf
CELL_PARAMETERS angstrom
-1.5988 -2.6885 1.1549
-1.1064 -2.3215 -2.1224
9.2918 -7.3471 0.5731
ATOMIC_POSITIONS crystal
Tl 0.5000 0.5000 0.5000
Zr 0.0000 0.0000 0.0000
Dy 0.0898 0.0898 0.7307
Dy 0.9102 0.9102 0.2693
```

---

Version iii
Here is crystalline Dy2ZrTl at its relaxed geometry from the Alexandria database. Energies are from PBE. Values from VASP.

Magnetic moment   0.000 μB/cell

Quantum ESPRESSO input file:
```
&SYSTEM
  ibrav = 0, nat = 4, ntyp = 3
/
ATOMIC_SPECIES
Tl 204.38 Tl.upf
Zr 91.22 Zr.upf
Dy 162.50 Dy.upf
CELL_PARAMETERS angstrom
4.6902 0.0000 0.0000
0.0000 4.7180 0.0000
0.0000 0.0000 4.7180
ATOMIC_POSITIONS crystal
Tl 0.5000 0.5000 0.5000
Zr 0.5000 0.0000 0.0000
Dy 0.0000 0.0000 0.5000
Dy 0.0000 0.5000 0.0000
```

---

It is version iii that is the most stable of them.

---

Version i
Here is crystalline Dy7Tm3 at its relaxed geometry from the Alexandria database. Energies are from PBE. Values from VASP.

Magnetic moment   2.762 μB/cell

Quantum ESPRESSO input file:
```
&SYSTEM
  ibrav = 0, nat = 20, ntyp = 2
/
ATOMIC_SPECIES
Dy 162.50 Dy.upf
Tm 168.93 Tm.upf
CELL_PARAMETERS angstrom
6.2409 0.0000 0.0000
0.0000 10.7938 0.0000
0.0000 -5.3969 9.3477
ATOMIC_POSITIONS crystal
Dy 0.9908 0.6667 0.3333
Dy 0.4908 0.3333 0.6667
Dy 0.8766 0.8816 0.7633
Dy 0.8766 0.8816 0.1184
Dy 0.8766 0.2367 0.1184
Dy 0.3766 0.1184 0.2367
Dy 0.3766 0.1184 0.8816
Dy 0.3766 0.7633 0.8816
Dy 0.2298 0.4712 0.9424
Dy 0.2298 0.4712 0.5288
Dy 0.2298 0.0576 0.5288
Dy 0.7298 0.5288 0.0576
Dy 0.7298 0.5288 0.4712
Dy 0.7298 0.9424 0.4712
Tm 0.8660 0.2137 0.4274
Tm 0.8660 0.2137 0.7863
Tm 0.8660 0.5726 0.7863
Tm 0.3660 0.7863 0.5726
Tm 0.3660 0.7863 0.2137
Tm 0.3660 0.4274 0.2137
```

---

Version ii
Here is crystalline Dy7Tm3 at its relaxed geometry from the Alexandria database. Energies are from PBE. Values from VASP.

Magnetic moment   0.000 μB/cell

Quantum ESPRESSO input file:
```
&SYSTEM
  ibrav = 0, nat = 10, ntyp = 2
/
ATOMIC_SPECIES
Dy 162.50 Dy.upf
Tm 168.93 Tm.upf
CELL_PARAMETERS angstrom
-3.0082 3.9454 -0.1934
-2.0661 -1.8925 -6.4697
-4.4802 -6.2858 5.1891
ATOMIC_POSITIONS crystal
Dy 0.0000 0.5000 0.0000
Dy 0.7999 0.8997 0.5997
Dy 0.2001 0.1003 0.4003
Dy 0.6002 0.3006 0.2004
Dy 0.3998 0.6994 0.7996
Dy 0.5999 0.7999 0.1998
Dy 0.4001 0.2001 0.8002
Tm 0.0000 0.0000 0.0000
Tm 0.7996 0.3999 0.5993
Tm 0.2004 0.6001 0.4007
```

---

It is version ii that is the most stable of them.

---

Version i
Here is crystalline DyTm at its relaxed geometry from the Alexandria database. Energies are from PBE. Values from VASP.

Magnetic moment   0.000 μB/cell

Quantum ESPRESSO input file:
```
&SYSTEM
  ibrav = 0, nat = 2, ntyp = 2
/
ATOMIC_SPECIES
Tm 168.93 Tm.upf
Dy 162.50 Dy.upf
CELL_PARAMETERS angstrom
3.9585 0.0000 0.0000
0.0000 3.9585 0.0000
0.0000 0.0000 3.9585
ATOMIC_POSITIONS crystal
Tm 0.5000 0.5000 0.5000
Dy 0.0000 0.0000 0.0000
```

---

Version ii
Here is crystalline DyTm at its relaxed geometry from the Alexandria database. Energies are from PBE. Values from VASP.

Magnetic moment   0.000 μB/cell

Quantum ESPRESSO input file:
```
&SYSTEM
  ibrav = 0, nat = 4, ntyp = 2
/
ATOMIC_SPECIES
Tm 168.93 Tm.upf
Dy 162.50 Dy.upf
CELL_PARAMETERS angstrom
3.4386 0.4811 0.0000
0.8072 6.6854 0.0000
0.0000 0.0000 5.4446
ATOMIC_POSITIONS crystal
Tm 0.4357 0.1307 0.2500
Tm 0.5643 0.8693 0.7500
Dy 0.1706 0.6571 0.2500
Dy 0.8294 0.3429 0.7500
```

---

It is version ii that is the most stable of them.

---

Version i
Here is crystalline Dy4Tm at its relaxed geometry from the Alexandria database. Energies are from PBE. Values from VASP.

Magnetic moment   0.000 μB/cell

Quantum ESPRESSO input file:
```
&SYSTEM
  ibrav = 0, nat = 5, ntyp = 2
/
ATOMIC_SPECIES
Dy 162.50 Dy.upf
Tm 168.93 Tm.upf
CELL_PARAMETERS angstrom
-3.2711 -0.5584 -1.1884
-0.6546 -2.7270 -2.1353
-4.0132 -9.3410 10.3036
ATOMIC_POSITIONS crystal
Dy 0.2008 0.2008 0.3995
Dy 0.7992 0.7992 0.6005
Dy 0.6004 0.6004 0.1985
Dy 0.3996 0.3996 0.8015
Tm 0.0000 0.0000 0.0000
```

---

Version ii
Here is crystalline Dy4Tm at its relaxed geometry from the Alexandria database. Energies are from PBE. Values from VASP.

Magnetic moment   0.001 μB/cell

Quantum ESPRESSO input file:
```
&SYSTEM
  ibrav = 0, nat = 5, ntyp = 2
/
ATOMIC_SPECIES
Tm 168.93 Tm.upf
Dy 162.50 Dy.upf
CELL_PARAMETERS angstrom
5.6264 0.0000 0.0000
0.0000 5.6264 0.0000
0.0000 0.0000 5.6264
ATOMIC_POSITIONS crystal
Tm 0.5000 0.5000 0.5000
Dy 0.0000 0.0000 0.0000
Dy 0.5000 0.0000 0.5000
Dy 0.0000 0.5000 0.5000
Dy 0.5000 0.5000 0.0000
```

---

Version iii
Here is crystalline Dy4Tm at its relaxed geometry from the Alexandria database. Energies are from PBE. Values from VASP.

Magnetic moment   0.002 μB/cell

Quantum ESPRESSO input file:
```
&SYSTEM
  ibrav = 0, nat = 5, ntyp = 2
/
ATOMIC_SPECIES
Dy 162.50 Dy.upf
Tm 168.93 Tm.upf
CELL_PARAMETERS angstrom
-0.7252 -4.3941 0.3559
4.4072 -0.7299 -0.0447
-1.6494 3.1938 8.0780
ATOMIC_POSITIONS crystal
Dy 0.7499 0.7501 0.0000
Dy 0.2501 0.2499 0.0000
Dy 0.9068 0.4068 0.3135
Dy 0.0932 0.5932 0.6865
Tm 0.5000 0.0000 0.5000
```

---

It is version i that is the most stable of them.